12
Lattice="4.957 0.000 0.000 -2.479 4.293 0.000 0.000 0.000 24.985" Properties=species:S:1:pos:R:3 comment="CsPaPb2, optimized geometry, DFT GGA-PBE" de_polymorph_mev_per_atom=266.5 ef_ev_per_atom=0.30 space_group="R-3m (166)" pbc="T T T"
Cs 0.000 0.000 0.000
Cs 0.000 2.862 16.656
Cs 2.479 1.431 8.328
Pa 0.000 0.000 12.492
Pa 0.000 2.862 4.164
Pa 2.479 1.431 20.821
Pb 0.000 0.000 5.466
Pb 0.000 0.000 19.519
Pb 0.000 2.862 11.191
Pb 0.000 2.862 22.122
Pb 2.479 1.431 2.863
Pb 2.479 1.431 13.794



20
Lattice="-5.352 5.352 5.352 5.352 -5.352 5.352 5.352 5.352 -5.352" Properties=species:S:1:pos:R:3 comment="Cs4Pa3PbS12, optimized geometry, DFT GGA-PBE" space_group="Im-3m (229)" formation_energy_uncorrected_mev_per_atom=-1245 pbc="T T T"
Cs 2.676 2.676 -2.676
Cs 2.676 -2.676 2.676
Cs -2.676 2.676 2.676
Cs 2.676 2.676 2.676
Pa 5.352 0.000 0.000
Pa 0.000 5.352 0.000
Pa 0.000 0.000 5.352
Pb 0.000 0.000 0.000
S 2.801 0.000 0.000
S 7.903 0.000 0.000
S 5.352 2.676 0.000
S 5.352 0.000 2.676
S 0.000 2.801 0.000
S 0.000 0.000 2.801
S 2.676 5.352 0.000
S 2.676 0.000 5.352
S 0.000 7.903 0.000
S 0.000 0.000 7.903
S 0.000 5.352 2.676
S 0.000 2.676 5.352



9
Lattice="-2.613 3.787 7.032 2.613 -3.787 7.032 2.613 3.787 -7.032" Properties=species:S:1:pos:R:3 comment="CsPaPb2S5, optimized geometry, DFT GGA-PBE" space_group="Immm (71)" formation_energy_uncorrected_mev_per_atom=-1045 pbc="T T T"
Cs 0.000 0.000 0.000
Pa 0.000 0.000 7.032
Pb 2.613 0.000 4.008
Pb 0.000 3.787 3.024
S 2.613 2.024 -1.950
S 2.613 2.024 1.950
S 0.000 3.787 0.000
S 0.000 1.763 5.081
S 0.000 1.763 8.982



VASP energy across the listed records, respectively: -4.141 -5.502 -5.312 eV/atom.